Entry 1:
A relaxed structure of NpZnPb, computed with PBE.

Computed properties:
* symmetry: F-43m (216)
* theoretical density: 10.95 g/cm3

```
NpZnPb
1.0
0.0000 3.3812 3.3812
3.3812 0.0000 3.3812
3.3812 3.3812 0.0000
Np Zn Pb
1 1 1
Direct
0.0000 0.0000 0.0000
0.2500 0.2500 0.2500
0.5000 0.5000 0.5000
```

Entry 2:
A relaxed structure of NpPd3, computed with PBE.

Computed properties:
* relative energy among the computed polymorphs: 0.0 meV per atom
* energy of formation from the pure elements: -0.488 eV per atom
* symmetry: P6_3/mmc (194)
* theoretical density: 13.20 g/cm3

```
NpPd3
1.0
5.8016 0.0000 0.0000
-2.9008 5.0244 0.0000
0.0000 0.0000 9.5996
Np Pd
4 12
Direct
0.0000 0.0000 0.0000
0.0000 0.0000 0.5000
0.3333 0.6667 0.2500
0.6667 0.3333 0.7500
0.0000 0.5000 0.0000
0.0000 0.5000 0.5000
0.1711 0.3422 0.7500
0.1711 0.8289 0.7500
0.3422 0.1711 0.2500
0.5000 0.0000 0.0000
0.5000 0.0000 0.5000
0.5000 0.5000 0.0000
0.5000 0.5000 0.5000
0.6578 0.8289 0.7500
0.8289 0.1711 0.2500
0.8289 0.6578 0.2500
```

Entry 3:
A relaxed structure of PmNpPd, computed with PBE.

Computed properties:
* energy of formation from the pure elements: 0.412 eV per atom
* symmetry: F-43m (216)
* theoretical density: 10.37 g/cm3

```
PmNpPd
1.0
0.0000 3.3945 3.3945
3.3945 0.0000 3.3945
3.3945 3.3945 0.0000
Pm Np Pd
1 1 1
Direct
0.0000 0.0000 0.0000
0.7500 0.7500 0.7500
0.5000 0.5000 0.5000
```

Entry 4:
A relaxed structure of PrNpPd, computed with PBE.

Computed properties:
* relative energy among the computed polymorphs: 0.0 meV per atom
* energy of formation from the pure elements: 0.089 eV per atom
* symmetry: F-43m (216)
* theoretical density: 9.46 g/cm3

```
PrNpPd
1.0
0.0000 3.4898 3.4898
3.4898 0.0000 3.4898
3.4898 3.4898 0.0000
Pr Np Pd
1 1 1
Direct
0.0000 0.0000 0.0000
0.5000 0.5000 0.5000
0.7500 0.7500 0.7500
```

Entry 5:
A relaxed structure of NpUPdPt, computed with PBE.

Computed properties:
* energy of formation from the pure elements: -0.618 eV per atom
* symmetry: F-43m (216)
* theoretical density: 17.40 g/cm3

```
NpUPdPt
1.0
0.0000 3.3339 3.3339
3.3339 0.0000 3.3339
3.3339 3.3339 0.0000
Np U Pd Pt
1 1 1 1
Direct
0.0000 0.0000 0.0000
0.7500 0.7500 0.7500
0.2500 0.2500 0.2500
0.5000 0.5000 0.5000
```

Entry 6:
A relaxed structure of NpRePd, computed with PBE.

Computed properties:
* relative energy among the computed polymorphs: 0.0 meV per atom
* energy of formation from the pure elements: 0.778 eV per atom
* symmetry: F-43m (216)
* theoretical density: 14.34 g/cm3

```
NpRePd
1.0
0.0000 3.1299 3.1299
3.1299 0.0000 3.1299
3.1299 3.1299 0.0000
Np Re Pd
1 1 1
Direct
0.0000 0.0000 0.0000
0.2500 0.2500 0.2500
0.7500 0.7500 0.7500
```

Entry 7:
A relaxed structure of NpRePd, computed with PBE.

Computed properties:
* relative energy among the computed polymorphs: 38.2 meV per atom
* energy of formation from the pure elements: 0.817 eV per atom
* symmetry: F-43m (216)
* theoretical density: 14.40 g/cm3

```
NpRePd
1.0
0.0000 3.1255 3.1255
3.1255 0.0000 3.1255
3.1255 3.1255 0.0000
Np Re Pd
1 1 1
Direct
0.0000 0.0000 0.0000
0.5000 0.5000 0.5000
0.2500 0.2500 0.2500
```

Entry 8:
A relaxed structure of Np3PdS6, computed with PBE.

Computed properties:
* symmetry: Cmc2_1 (36)
* theoretical density: 7.82 g/cm3

```
Np3PdS6
1.0
5.2616 -6.4181 0.0000
5.2616 6.4181 0.0000
0.0000 0.0000 6.3463
Np Pd S
6 2 12
Direct
0.1079 0.8921 0.5000
0.2215 0.4265 0.5957
0.4265 0.2215 0.0957
0.5735 0.7785 0.5957
0.7785 0.5735 0.0957
0.8921 0.1079 0.0000
0.3073 0.6927 0.1623
0.6927 0.3073 0.6623
0.0481 0.5891 0.3352
0.1298 0.1939 0.2970
0.1939 0.1298 0.7970
0.2726 0.7274 0.7764
0.4109 0.9519 0.3352
0.4767 0.5233 0.3163
0.5233 0.4767 0.8163
0.5891 0.0481 0.8352
0.7274 0.2726 0.2764
0.8061 0.8702 0.2970
0.8702 0.8061 0.7970
0.9519 0.4109 0.8352
```

Entry 9:
A relaxed structure of NpScPd, computed with PBE.

Computed properties:
* energy of formation from the pure elements: 0.449 eV per atom
* symmetry: F-43m (216)
* theoretical density: 9.71 g/cm3

```
NpScPd
1.0
0.0000 3.2142 3.2142
3.2142 0.0000 3.2142
3.2142 3.2142 0.0000
Np Sc Pd
1 1 1
Direct
0.0000 0.0000 0.0000
0.2500 0.2500 0.2500
0.5000 0.5000 0.5000
```

Entry 10:
A relaxed structure of TbNpPd, computed with PBE.

Computed properties:
* relative energy among the computed polymorphs: 0.0 meV per atom
* energy of formation from the pure elements: 0.041 eV per atom
* symmetry: F-43m (216)
* theoretical density: 10.17 g/cm3

```
TbNpPd
1.0
0.0000 3.4486 3.4486
3.4486 0.0000 3.4486
3.4486 3.4486 0.0000
Tb Np Pd
1 1 1
Direct
0.0000 0.0000 0.0000
0.5000 0.5000 0.5000
0.7500 0.7500 0.7500
```

Entry 11:
A relaxed structure of TmNpPd, computed with PBE.

Computed properties:
* relative energy among the computed polymorphs: 0.0 meV per atom
* energy of formation from the pure elements: 0.021 eV per atom
* symmetry: F-43m (216)
* theoretical density: 10.69 g/cm3

```
TmNpPd
1.0
0.0000 3.4140 3.4140
3.4140 0.0000 3.4140
3.4140 3.4140 0.0000
Tm Np Pd
1 1 1
Direct
0.0000 0.0000 0.0000
0.5000 0.5000 0.5000
0.7500 0.7500 0.7500
```

Entry 12:
A relaxed structure of NpUPd, computed with PBE.

Computed properties:
* energy of formation from the pure elements: 0.168 eV per atom
* symmetry: F-43m (216)
* theoretical density: 15.40 g/cm3

```
NpUPd
1.0
0.0000 3.1534 3.1534
3.1534 0.0000 3.1534
3.1534 3.1534 0.0000
Np U Pd
1 1 1
Direct
0.0000 0.0000 0.0000
0.2500 0.2500 0.2500
0.5000 0.5000 0.5000
```

Entry 13:
A relaxed structure of NpZnPd, computed with PBE.

Computed properties:
* energy of formation from the pure elements: 0.254 eV per atom
* symmetry: F-43m (216)
* theoretical density: 10.16 g/cm3

```
NpZnPd
1.0
0.0000 3.2205 3.2205
3.2205 0.0000 3.2205
3.2205 3.2205 0.0000
Np Zn Pd
1 1 1
Direct
0.0000 0.0000 0.0000
0.2500 0.2500 0.2500
0.5000 0.5000 0.5000
```

Entry 14:
A relaxed structure of ZrNpPd, computed with PBE.

Computed properties:
* energy of formation from the pure elements: 0.271 eV per atom
* symmetry: F-43m (216)
* theoretical density: 10.26 g/cm3

```
ZrNpPd
1.0
0.0000 3.2767 3.2767
3.2767 0.0000 3.2767
3.2767 3.2767 0.0000
Zr Np Pd
1 1 1
Direct
0.0000 0.0000 0.0000
0.5000 0.5000 0.5000
0.7500 0.7500 0.7500
```

Entry 15:
A relaxed structure of PmNp2, computed with PBE.

Computed properties:
* energy of formation from the pure elements: 3.107 eV per atom
* symmetry: Fd-3m (227)
* theoretical density: 4.63 g/cm3

```
PmNp2
1.0
0.0000 6.0541 6.0541
6.0541 0.0000 6.0541
6.0541 6.0541 0.0000
Pm Np
2 4
Direct
0.1250 0.1250 0.1250
0.8750 0.8750 0.8750
0.0000 0.0000 0.0000
0.0000 0.0000 0.5000
0.0000 0.5000 0.0000
0.5000 0.0000 0.0000
```

Entry 16:
A relaxed structure of PmPrNp, computed with PBE.

Computed properties:
* relative energy among the computed polymorphs: 0.0 meV per atom
* energy of formation from the pure elements: 1.131 eV per atom
* symmetry: F-43m (216)
* theoretical density: 8.37 g/cm3

```
PmPrNp
1.0
0.0000 3.7298 3.7298
3.7298 0.0000 3.7298
3.7298 3.7298 0.0000
Pm Pr Np
1 1 1
Direct
0.0000 0.0000 0.0000
0.7500 0.7500 0.7500
0.5000 0.5000 0.5000
```

Entry 17:
A relaxed structure of PmNpPt, computed with PBE.

Computed properties:
* relative energy among the computed polymorphs: 0.0 meV per atom
* energy of formation from the pure elements: -0.284 eV per atom
* symmetry: F-43m (216)
* theoretical density: 11.49 g/cm3

```
PmNpPt
1.0
0.0000 3.4678 3.4678
3.4678 0.0000 3.4678
3.4678 3.4678 0.0000
Pm Np Pt
1 1 1
Direct
0.0000 0.0000 0.0000
0.5000 0.5000 0.5000
0.7500 0.7500 0.7500
```

Entry 18:
A relaxed structure of RbPmNp, computed with PBE.

Computed properties:
* relative energy among the computed polymorphs: 0.0 meV per atom
* symmetry: F-43m (216)
* theoretical density: 4.97 g/cm3

```
RbPmNp
1.0
0.0000 4.2746 4.2746
4.2746 0.0000 4.2746
4.2746 4.2746 0.0000
Rb Pm Np
1 1 1
Direct
0.0000 0.0000 0.0000
0.7500 0.7500 0.7500
0.5000 0.5000 0.5000
```

Entry 19:
A relaxed structure of PmNpTa, computed with PBE.

Computed properties:
* energy of formation from the pure elements: 1.477 eV per atom
* symmetry: F-43m (216)
* theoretical density: 12.37 g/cm3

```
PmNpTa
1.0
0.0000 3.3553 3.3553
3.3553 0.0000 3.3553
3.3553 3.3553 0.0000
Pm Np Ta
1 1 1
Direct
0.0000 0.0000 0.0000
0.2500 0.2500 0.2500
0.5000 0.5000 0.5000
```

Entry 20:
A relaxed structure of TbPmNp, computed with PBE.

Computed properties:
* relative energy among the computed polymorphs: 0.0 meV per atom
* energy of formation from the pure elements: 1.167 eV per atom
* symmetry: F-43m (216)
* theoretical density: 9.08 g/cm3

```
TbPmNp
1.0
0.0000 3.6704 3.6704
3.6704 0.0000 3.6704
3.6704 3.6704 0.0000
Tb Pm Np
1 1 1
Direct
0.0000 0.0000 0.0000
0.5000 0.5000 0.5000
0.7500 0.7500 0.7500
```

Entry 21:
A relaxed structure of PmNpTc, computed with PBE.

Computed properties:
* relative energy among the computed polymorphs: 0.0 meV per atom
* energy of formation from the pure elements: 1.125 eV per atom
* symmetry: F-43m (216)
* theoretical density: 11.65 g/cm3

```
PmNpTc
1.0
0.0000 3.2462 3.2462
3.2462 0.0000 3.2462
3.2462 3.2462 0.0000
Pm Np Tc
1 1 1
Direct
0.0000 0.0000 0.0000
0.2500 0.2500 0.2500
0.5000 0.5000 0.5000
```

Entry 22:
A relaxed structure of PmThNp, computed with PBE.

Computed properties:
* energy of formation from the pure elements: 1.194 eV per atom
* symmetry: F-43m (216)
* theoretical density: 10.71 g/cm3

```
PmThNp
1.0
0.0000 3.6242 3.6242
3.6242 0.0000 3.6242
3.6242 3.6242 0.0000
Pm Th Np
1 1 1
Direct
0.0000 0.0000 0.0000
0.2500 0.2500 0.2500
0.7500 0.7500 0.7500
```

Entry 23:
A relaxed structure of PmNpU, computed with PBE.

Computed properties:
* relative energy among the computed polymorphs: 0.0 meV per atom
* energy of formation from the pure elements: 1.174 eV per atom
* symmetry: F-43m (216)
* theoretical density: 11.99 g/cm3

```
PmNpU
1.0
0.0000 3.5013 3.5013
3.5013 0.0000 3.5013
3.5013 3.5013 0.0000
Pm Np U
1 1 1
Direct
0.0000 0.0000 0.0000
0.5000 0.5000 0.5000
0.7500 0.7500 0.7500
```

Entry 24:
A relaxed structure of PmNpZn, computed with PBE.

Computed properties:
* energy of formation from the pure elements: 0.926 eV per atom
* symmetry: F-43m (216)
* theoretical density: 10.25 g/cm3

```
PmNpZn
1.0
0.0000 3.3091 3.3091
3.3091 0.0000 3.3091
3.3091 3.3091 0.0000
Pm Np Zn
1 1 1
Direct
0.0000 0.0000 0.0000
0.7500 0.7500 0.7500
0.2500 0.2500 0.2500
```

Entry 25:
A relaxed structure of PmZrNp, computed with PBE.

Computed properties:
* energy of formation from the pure elements: 1.291 eV per atom
* symmetry: F-43m (216)
* theoretical density: 9.56 g/cm3

```
PmZrNp
1.0
0.0000 3.4509 3.4509
3.4509 0.0000 3.4509
3.4509 3.4509 0.0000
Pm Zr Np
1 1 1
Direct
0.0000 0.0000 0.0000
0.2500 0.2500 0.2500
0.7500 0.7500 0.7500
```

Entry 26:
A relaxed structure of PrNp, computed with PBE.

Computed properties:
* relative energy among the computed polymorphs: 1422.9 meV per atom
* energy of formation from the pure elements: 1.983 eV per atom
* symmetry: F-43m (216)
* theoretical density: 9.42 g/cm3

```
PrNp
1.0
0.0000 3.2176 3.2176
3.2176 0.0000 3.2176
3.2176 3.2176 0.0000
Pr Np
1 1
Direct
0.0000 0.0000 0.0000
0.2500 0.2500 0.2500
```

Entry 27:
A relaxed structure of PrNp, computed with PBE.

Computed properties:
* relative energy among the computed polymorphs: 631.3 meV per atom
* energy of formation from the pure elements: 1.191 eV per atom
* symmetry: Fm-3m (225)
* theoretical density: 9.84 g/cm3

```
PrNp
1.0
0.0000 3.1712 3.1712
3.1712 0.0000 3.1712
3.1712 3.1712 0.0000
Pr Np
1 1
Direct
0.0000 0.0000 0.0000
0.5000 0.5000 0.5000
```

Entry 28:
A relaxed structure of PrNp, computed with PBE.

Computed properties:
* relative energy among the computed polymorphs: 0.0 meV per atom
* energy of formation from the pure elements: 0.560 eV per atom
* symmetry: P-6m2 (187)
* theoretical density: 10.55 g/cm3

```
PrNp
1.0
3.4001 0.0000 0.0000
-1.7001 2.9446 0.0000
0.0000 0.0000 5.9397
Pr Np
1 1
Direct
0.0000 0.0000 0.0000
0.3333 0.6667 0.5000
```

Entry 29:
A relaxed structure of PrNpSb, computed with PBE.

Computed properties:
* symmetry: F-43m (216)
* theoretical density: 8.22 g/cm3

```
PrNpSb
1.0
0.0000 3.6953 3.6953
3.6953 0.0000 3.6953
3.6953 3.6953 0.0000
Pr Np Sb
1 1 1
Direct
0.0000 0.0000 0.0000
0.2500 0.2500 0.2500
0.5000 0.5000 0.5000
```

Entry 30:
A relaxed structure of PrNpSb2, computed with PBE.

Computed properties:
* symmetry: P4/mmm (123)
* theoretical density: 8.13 g/cm3

```
PrNpSb2
1.0
4.4790 0.0000 0.0000
0.0000 4.4790 0.0000
0.0000 0.0000 6.3259
Pr Np Sb
1 1 2
Direct
0.0000 0.0000 0.0000
0.5000 0.5000 0.5000
0.0000 0.0000 0.5000
0.5000 0.5000 0.0000
```

Entry 31:
A relaxed structure of PrNpSc, computed with PBE.

Computed properties:
* relative energy among the computed polymorphs: 0.0 meV per atom
* energy of formation from the pure elements: 1.095 eV per atom
* symmetry: F-43m (216)
* theoretical density: 7.52 g/cm3

```
PrNpSc
1.0
0.0000 3.6003 3.6003
3.6003 0.0000 3.6003
3.6003 3.6003 0.0000
Pr Np Sc
1 1 1
Direct
0.0000 0.0000 0.0000
0.5000 0.5000 0.5000
0.7500 0.7500 0.7500
```

no.,calculated total energy (eV/cell)
1,-16.89
2,-120.99
3,-21.45
4,-22.45
5,-37.77
6,-28.03
7,-27.92
8,-161.19
9,-22.93
10,-22.45
11,-22.36
12,-28.74
13,-18.45
14,-25.68
15,-41.93
16,-18.90
17,-24.42
18,-13.44
19,-24.94
20,-18.64
21,-24.50
22,-21.34
23,-25.29
24,-16.00
25,-22.19
26,-13.58
27,-15.16
28,-16.42
29,-20.64
30,-28.65
31,-20.59